<A>
First-principles (SCAN) data for a crystal of ZrIrOs2 relaxed with PBEsol, as listed in Alexandria via LeMat-Bulk.

## Properties
N(E_F) = 0.896 states/eV/atom

a b c (Å): 3.916 3.916 4.873
angles (deg): 113.69 113.69 90.00
Element x y z (fractional)
Os 0.250 0.750 0.500
Os 0.750 0.250 0.500
Zr 0.000 0.000 0.000
Ir 0.500 0.500 0.000



<B>
First-principles (SCAN) data for a crystal of ZrIrOs2 relaxed with PBEsol, as listed in Alexandria via LeMat-Bulk.

## Properties
N(E_F) = 1.050 states/eV/atom

a b c (Å): 2.774 2.774 8.052
angles (deg): 90.00 90.00 90.00
Element x y z (fractional)
Os 0.000 0.000 0.728
Os 0.000 0.000 0.272
Zr 0.500 0.500 0.000
Ir 0.500 0.500 0.500



Most stable: <A>